DFT (PBE) results for crystalline TbAs2Au at its relaxed geometry.

ΔH_f (0 K) = -243 kJ/mol of formula units
Size of the total moment = 0.000 μB per atom
Density = 10.3 Mg/m³
Total energy = -4.9309 eV per atom

Lattice parameters (Å, degrees): 4.5634 4.5634 3.9111 90.00 90.00 90.00
Space group P4/mmm (No. 123)
Unique sites:
Tb  0.0000  0.0000  0.0000 x1
As  0.0000  0.5000  0.5000 x2
Au  0.5000  0.5000  0.0000 x1